Compound: Ac3ZnAg
Source: Alexandria via LeMat-Bulk
Functional: PBE
Structure: optimized geometry

a = 5.5992 Å, b = 5.6039 Å, c = 11.0698 Å
α = 90.00°, β = 75.35°, γ = 90.00°
Closest atoms and distances in Å follow each position.
Fractional coordinates of all 10 atoms:
Ac (0.7546, 0.2500, 0.1392)  2 Zn 3.36, 2 Ag 3.40
Ac (0.8938, 0.7500, 0.8608)  2 Zn 3.36, 2 Ag 3.40
Ac (0.0751, 0.7500, 0.4981)  4 Ag 3.39-3.41, 4 Zn 3.43-3.45
Ac (0.3917, 0.2500, 0.8649)  2 Zn 3.39, 2 Ag 3.43
Ac (0.2566, 0.7500, 0.1351)  2 Zn 3.39, 2 Ag 3.43
Ac (0.5732, 0.2500, 0.5019)  4 Ag 3.39-3.41, 4 Zn 3.43-3.45
Ag (0.9840, 0.2500, 0.6803)  8 Ac 3.39-3.43
Ag (0.6644, 0.7500, 0.3197)  8 Ac 3.39-3.43
Zn (0.1676, 0.2500, 0.3131)  8 Ac 3.36-3.45
Zn (0.4807, 0.7500, 0.6869)  8 Ac 3.36-3.45

Summary:
Formation enthalpy at 0 K, eV per atom: -0.19
ρ, g/cm³: 8.44